First-principles (PBE+U) data for a relaxed PmNi2IO6 crystal, as listed in Alexandria.

It has space group R3 (No. 146, hexagonal axes), with a = 5.5372 Å, b = 5.5372 Å, c = 14.1322 Å, α = 90.00°, β = 90.00° and γ = 120.00°. The distinct sites, in fractional coordinates, are Pm at (0.0000, 0.0000, 0.0000), Ni at (0.0000, 0.0000, 0.2713), Ni at (0.0000, 0.0000, 0.7876), I at (0.0000, 0.0000, 0.4816), O at (0.0168, 0.3805, 0.5421) and O at (0.0389, 0.6186, 0.0530).

The value obtained for the electronic total energy is -5.48 eV per atom.